Computed, not measured: a relaxed DyPdPt2 crystal at the PBE level of DFT.

extended XYZ file:
```
4
Lattice="4.6882 0.0000 0.0000 2.3441 4.0601 0.0000 2.3441 1.3534 3.8292" Properties=species:S:1:pos:R:3 pbc="T T T"
Pd 0.0000 0.0000 0.0000
Pt 7.0323 4.0601 2.8727
Pt 2.3441 1.3534 0.9565
Dy 4.6882 2.7067 1.9146
```

Calculated values
Energy of formation = -0.724 eV per atom
Crystal system = cubic

---

Computed, not measured: a relaxed FeAgPt2 crystal at the PBE level of DFT.

extended XYZ file:
```
4
Lattice="3.9766 0.0000 0.0000 0.0000 2.7750 0.0100 0.0000 2.7786 5.6106" Properties=species:S:1:pos:R:3 pbc="T T T"
Ag 0.0000 2.7752 2.8105
Fe 1.9883 4.1672 4.3236
Pt 0.0000 2.7785 5.5175
Pt 1.9883 1.3882 1.3898
```

Calculated values
Energy of formation = -0.003 eV per atom
Crystal system = monoclinic

---

Computed, not measured: a relaxed Ac2DySn3Rh4 crystal at the PBE level of DFT.

extended XYZ file:
```
10
Lattice="4.5112 0.0000 0.0000 0.0000 4.5112 0.0000 0.0000 0.0000 11.5489" Properties=species:S:1:pos:R:3 pbc="T T T"
Ac 2.2556 0.0000 2.7455
Ac 0.0000 2.2556 8.8034
Dy 2.2556 2.2556 5.7744
Sn 0.0000 0.0000 5.7744
Sn 2.2556 0.0000 10.1323
Sn 0.0000 2.2556 1.4166
Rh 2.2556 2.2556 0.0000
Rh 0.0000 0.0000 0.0000
Rh 2.2556 0.0000 7.4573
Rh 0.0000 2.2556 4.0916
```

Calculated values
Energy of formation = -0.782 eV per atom
Crystal system = tetragonal

---

Computed, not measured: a relaxed NpNbB crystal at the PBE level of DFT.

extended XYZ file:
```
12
Lattice="6.4900 1.9428 0.0000 1.1481 6.6766 0.0000 -3.8191 -4.3097 4.9178" Properties=species:S:1:pos:R:3 pbc="T T T"
B 0.0000 0.0000 1.7438
B 3.8191 4.3097 3.1741
B 0.5741 3.3383 0.7151
B 0.5741 3.3383 4.2027
Np 4.1061 5.9788 1.2295
Np 1.6225 0.4857 3.6884
Np 3.5320 2.6405 1.2295
Np -1.6225 -0.4857 3.6884
Nb 1.5860 4.4802 2.4589
Nb 1.0119 1.1419 0.0000
Nb -0.4379 2.1964 2.4589
Nb 6.6262 7.4774 0.0000
```

Calculated values
Energy of formation = 0.153 eV per atom
Crystal system = orthorhombic

---

Computed, not measured: a relaxed GdReSi2 crystal at the PBE level of DFT.

extended XYZ file:
```
4
Lattice="4.1471 0.0000 0.0000 2.0735 3.5915 0.0000 2.0735 1.1972 4.9234" Properties=species:S:1:pos:R:3 pbc="T T T"
Re 0.0000 0.0000 0.0000
Si 6.2206 3.5915 4.2543
Si 2.0735 1.1972 0.6691
Gd 4.1471 2.3943 2.4617
```

Calculated values
ΔE_f (raw) = -1.91 eV/f.u.
Crystal system = trigonal

---

Computed, not measured: a relaxed Na2NpAuO6 crystal at the PBE level of DFT.

extended XYZ file:
```
10
Lattice="5.1494 0.0000 -0.2547 0.0000 5.6823 0.0000 -2.3224 -2.8411 5.1920" Properties=species:S:1:pos:R:3 pbc="T T T"
Na -0.2029 0.0000 2.5122
Na 3.0299 2.8411 2.4251
Np 0.0000 2.8411 0.0000
Au 2.5747 0.0000 -0.1273
O 0.8572 2.8411 1.6486
O -1.0354 -1.4734 4.3405
O 3.8624 1.3677 0.5969
O -1.0354 1.4734 4.3405
O 3.8624 4.3145 0.5969
O 1.9698 0.0000 3.2888
```

Calculated values
ΔE_f (raw) = -17.61 eV/f.u.
Crystal system = monoclinic

---

Computed, not measured: a relaxed KBaCa crystal at the PBE level of DFT.

extended XYZ file:
```
3
Lattice="-9.1256 5.9894 -2.2496 -8.4066 3.8602 -5.7264 -3.0012 -1.8337 2.1837" Properties=species:S:1:pos:R:3 pbc="T T T"
Ba -17.3812 9.7282 -7.8704
Ca -7.9170 2.1187 -1.2532
K -12.7674 6.0185 -4.6445
```

Calculated values
Energy of formation = 0.106 eV per atom
Distance to the lowest polymorph of the same formula = 0.026 eV/atom
Crystal system = orthorhombic